No. 1
Here is a relaxed CaZrZnN3 crystal from Alexandria via LeMat-Bulk. Energies are from GGA-PBE.

Output
Space group: P2_1/m

abc: 3.2382 6.6280 8.5636
angles: 94.26 90.00 90.00
Last column: nearest neighbours and their distance in Å.
Element x y z (fractional)
Ca 0.2500 0.1620 0.2303  6 N 2.52-2.59
Ca 0.7500 0.8380 0.7697  6 N 2.52-2.59
Zn 0.2500 0.1539 0.5880  3 N 1.98-2.02
Zn 0.7500 0.8461 0.4120  3 N 1.98-2.02
N 0.2500 0.1397 0.8230  1 Zn 2.02, 2 Zr 2.17
N 0.7500 0.1820 0.4583  2 Zn 1.98
N 0.2500 0.5938 0.8780  3 Zr 2.06-2.29
N 0.2500 0.8180 0.5417  2 Zn 1.98
N 0.7500 0.4062 0.1220  3 Zr 2.06-2.29
N 0.7500 0.8603 0.1770  1 Zn 2.02, 2 Zr 2.17
Zr 0.7500 0.3490 0.8821  5 N 2.06-2.29
Zr 0.2500 0.6510 0.1179  5 N 2.06-2.29

=====

No. 2
Here is a relaxed CaZr2ZnN crystal from Alexandria via LeMat-Bulk. Energies are from GGA-PBE.

Output
Space group: P4/mmm
Polymorph energy (0 for the lowest one) in eV/atom: 1.653

abc: 5.5765 3.6145 5.5765
angles: 90.00 90.00 90.00
Last column: nearest neighbours and their distance in Å.
Element x y z (fractional)
N 0.0000 0.5000 0.0000  2 Zn 1.81
Zn 0.0000 0.0000 0.0000  2 N 1.81
Zr 0.0000 0.0000 0.5000  2 Zn 2.79
Zr 0.5000 0.0000 0.0000  2 Zn 2.79
Ca 0.5000 0.5000 0.5000  8 Zr 3.32, 2 Ca 3.61

=====

No. 3
Here is a relaxed CaZr3N crystal from Alexandria via LeMat-Bulk. Energies are from GGA-PBE.

Output
Space group: Pm-3m
Polymorph energy (0 for the lowest one) in eV/atom: 0.000

abc: 4.6628 4.6628 4.6628
angles: 90.00 90.00 90.00
Last column: nearest neighbours and their distance in Å.
Element x y z (fractional)
Zr 0.0000 0.5000 0.0000  2 N 2.33
Zr 0.0000 0.0000 0.5000  2 N 2.33
Zr 0.5000 0.0000 0.0000  2 N 2.33
N 0.0000 0.0000 0.0000  6 Zr 2.33
Ca 0.5000 0.5000 0.5000  12 Zr 3.30

=====

Number 1: uncorrected formation energy -0.644 eV/atom. Number 2: uncorrected formation energy 1.052 eV/atom. Number 3: uncorrected formation energy -0.424 eV/atom.